VASP calculation (GGA-PBE) on a relaxed BaYMn3 crystal.

The space group is Pm-3m (No. 221) and the conventional cell measures 5.237, 5.237 and 5.237 Å, with angles of 90.00, 90.00 and 90.00 degrees. The inequivalent atoms are Ba at (0.000, 0.000, 0.000), Y at (0.500, 0.500, 0.500) and Mn at (0.000, 0.000, 0.500).

Its energy above the most stable polymorph in this dataset is 0.533 eV/atom. For the energy relative to the elements, the calculation gives 1.578 eV per atom.



VASP calculation (GGA-PBE) on a relaxed Ce5CoPb crystal.

The space group is P4/mmm (No. 123) and the conventional cell measures 4.839, 4.839 and 7.720 Å, with angles of 90.00, 90.00 and 90.00 degrees. The inequivalent atoms are Ce at (0.000, 0.000, 0.000), Ce at (0.000, 0.500, 0.309), Co at (0.000, 0.000, 0.500) and Pb at (0.500, 0.500, 0.000).

For the energy relative to the elements, the calculation gives -0.163 eV per atom.